(1)
VASP calculation (PBE) on a geometry-optimized Al2SiOs structure.

Cell lengths 4.4349, 3.0201, 4.5090 Å; angles 90.00, 109.83, 90.00 degrees
Closest atoms and distances in Å follow each position.
Fractional positions:
Al 0.0000 0.0000 0.0000  2 Si 2.57, 4 Os 2.68, 4 Al 2.71
Al 0.0000 0.5000 0.5000  2 Os 2.57, 4 Si 2.68, 4 Al 2.71
Si 0.5000 0.0000 0.5000  6 Al 2.57-2.68, 4 Os 2.71
Os 0.5000 0.5000 0.0000  6 Al 2.57-2.68, 4 Si 2.71

The symmetry is No. 10.

=====

(2)
VASP calculation (PBE) on a geometry-optimized AlSiOs2 structure.

Cell lengths 5.6757, 7.9795, 2.8431 Å; angles 90.00, 118.34, 90.00 degrees
Closest atoms and distances in Å follow each position.
Fractional positions:
Al 0.0000 0.0000 0.0000  4 Os 2.47
Al 0.5000 0.5000 0.0000  4 Os 2.47
Si 0.0000 0.5000 0.0000  4 Os 2.47
Si 0.5000 0.0000 0.0000  4 Os 2.47
Os 0.2500 0.2500 0.5000  2 Al 2.47, 2 Si 2.47
Os 0.2500 0.7500 0.5000  2 Al 2.47, 2 Si 2.47
Os 0.7500 0.2500 0.5000  2 Al 2.47, 2 Si 2.47
Os 0.7500 0.7500 0.5000  2 Si 2.47, 2 Al 2.47

The symmetry is No. 12.

=====

(3)
VASP calculation (PBE) on a geometry-optimized AlSiOs2 structure.

Cell lengths 2.9723, 2.9723, 5.9989 Å; angles 90.00, 90.00, 90.00 degrees
Closest atoms and distances in Å follow each position.
Fractional positions:
Al 0.0000 0.0000 0.0000  8 Os 2.62
Si 0.0000 0.0000 0.5000  8 Os 2.54
Os 0.5000 0.5000 0.2620  4 Si 2.54, 4 Al 2.62
Os 0.5000 0.5000 0.7380  4 Si 2.54, 4 Al 2.62

The symmetry is No. 123.

=====

(4)
VASP calculation (PBE) on a geometry-optimized Al2SiOs structure.

Cell lengths 3.1590, 4.2045, 4.2240 Å; angles 90.00, 90.00, 90.00 degrees
Closest atoms and distances in Å follow each position.
Fractional positions:
Al 0.0000 0.0000 0.0000  4 Os 2.63, 4 Al 2.64
Al 0.5000 0.0000 0.5000  4 Si 2.63, 4 Al 2.64
Si 0.0000 0.5000 0.5000  4 Al 2.63, 4 Os 2.64
Os 0.5000 0.5000 0.0000  4 Al 2.63, 4 Si 2.64

The symmetry is No. 47.

=====

(5)
VASP calculation (PBE) on a geometry-optimized AlSiOs2 structure.

Cell lengths 3.6489, 3.6489, 8.2581 Å; angles 90.00, 90.00, 90.00 degrees
Closest atoms and distances in Å follow each position.
Fractional positions:
Al 0.0000 0.0000 0.0000  8 Os 2.58-2.76, 4 Si 2.76
Al 0.5000 0.5000 0.5000  8 Os 2.58-2.76, 4 Si 2.76
Si 0.0000 0.5000 0.2500  8 Os 2.58-2.76, 4 Al 2.76
Si 0.5000 0.0000 0.7500  8 Os 2.58-2.76, 4 Al 2.76
Os 0.0000 0.0000 0.5000  4 Al 2.58, 4 Os 2.76, 4 Si 2.76
Os 0.0000 0.5000 0.7500  4 Si 2.58, 4 Os 2.76, 4 Al 2.76
Os 0.5000 0.0000 0.2500  4 Si 2.58, 4 Os 2.76, 4 Al 2.76
Os 0.5000 0.5000 0.0000  4 Al 2.58, 4 Os 2.76, 4 Si 2.76

The symmetry is No. 119.

=====

(6)
VASP calculation (PBE) on a geometry-optimized Al2SiOs structure.

Cell lengths 6.0864, 6.0864, 6.0864 Å; angles 90.00, 90.00, 90.00 degrees
Closest atoms and distances in Å follow each position.
Fractional positions:
Al 0.0000 0.0000 0.0000  4 Al 2.64, 4 Si 2.64
Al 0.0000 0.5000 0.5000  4 Al 2.64, 4 Si 2.64
Al 0.2500 0.2500 0.2500  4 Os 2.64, 4 Al 2.64
Al 0.2500 0.7500 0.7500  4 Os 2.64, 4 Al 2.64
Al 0.5000 0.0000 0.5000  4 Al 2.64, 4 Si 2.64
Al 0.5000 0.5000 0.0000  4 Al 2.64, 4 Si 2.64
Al 0.7500 0.2500 0.7500  4 Os 2.64, 4 Al 2.64
Al 0.7500 0.7500 0.2500  4 Os 2.64, 4 Al 2.64
Si 0.2500 0.2500 0.7500  4 Os 2.64, 4 Al 2.64
Si 0.2500 0.7500 0.2500  4 Os 2.64, 4 Al 2.64
Si 0.7500 0.2500 0.2500  4 Os 2.64, 4 Al 2.64
Si 0.7500 0.7500 0.7500  4 Os 2.64, 4 Al 2.64
Os 0.0000 0.0000 0.5000  4 Al 2.64, 4 Si 2.64
Os 0.0000 0.5000 0.0000  4 Al 2.64, 4 Si 2.64
Os 0.5000 0.0000 0.0000  4 Al 2.64, 4 Si 2.64
Os 0.5000 0.5000 0.5000  4 Al 2.64, 4 Si 2.64

The symmetry is No. 216.

=====

(7)
VASP calculation (PBE) on a geometry-optimized AlSiOs2 structure.

Cell lengths 9.0497, 2.9106, 4.3622 Å; angles 90.00, 108.39, 90.00 degrees
Closest atoms and distances in Å follow each position.
Fractional positions:
Al 0.0000 0.0000 0.0000  7 Os 2.49-2.67
Al 0.5000 0.5000 0.0000  7 Os 2.49-2.67
Si 0.2611 0.5000 0.3681  7 Os 2.54-2.68, 2 Al 2.81
Si 0.7611 0.0000 0.3681  7 Os 2.54-2.68, 2 Al 2.81
Os 0.0036 0.5000 0.4887  3 Si 2.54-2.55, 4 Al 2.57-2.67, 2 Os 2.76
Os 0.2516 0.0000 0.8786  3 Al 2.49-2.59, 4 Si 2.56-2.68, 2 Os 2.76
Os 0.5036 0.0000 0.4887  3 Si 2.54-2.55, 4 Al 2.57-2.67, 2 Os 2.76
Os 0.7516 0.5000 0.8786  3 Al 2.49-2.59, 4 Si 2.56-2.68, 2 Os 2.76

The symmetry is No. 8.

=====

(8)
VASP calculation (PBE) on a geometry-optimized Al2SiOs structure.

Cell lengths 5.1312, 7.3968, 2.9879 Å; angles 90.00, 90.00, 90.00 degrees
Closest atoms and distances in Å follow each position.
Fractional positions:
Al 0.2500 0.2500 0.0000  2 Al 2.57, 4 Os 2.70, 4 Si 2.70
Al 0.2500 0.7500 0.0000  2 Al 2.57, 4 Os 2.70, 4 Si 2.70
Al 0.7500 0.2500 0.0000  2 Al 2.57, 4 Os 2.70, 4 Si 2.70
Al 0.7500 0.7500 0.0000  2 Al 2.57, 4 Os 2.70, 4 Si 2.70
Si 0.0000 0.0000 0.5000  2 Os 2.57, 8 Al 2.70
Si 0.5000 0.5000 0.5000  2 Os 2.57, 8 Al 2.70
Os 0.0000 0.5000 0.5000  2 Si 2.57, 8 Al 2.70
Os 0.5000 0.0000 0.5000  2 Si 2.57, 8 Al 2.70

The symmetry is No. 65.

=====

(9)
VASP calculation (PBE) on a geometry-optimized Al8Si2Os structure.

Cell lengths 7.3011, 7.3011, 7.3011 Å; angles 148.27, 119.63, 69.82 degrees
Closest atoms and distances in Å follow each position.
Fractional positions:
Al 0.1006 0.3396 0.7610  2 Si 2.66, 7 Al 2.71-2.94, 1 Os 2.71
Al 0.1671 0.1671 0.0000  8 Al 2.71-2.77, 2 Os 2.83, 2 Si 3.01
Al 0.2479 0.0000 0.2479  2 Si 2.54, 2 Os 2.70, 6 Al 2.71-2.77
Al 0.4214 0.6604 0.7610  2 Si 2.66, 7 Al 2.71-2.94, 1 Os 2.71
Al 0.5786 0.3396 0.2390  2 Si 2.66, 7 Al 2.71-2.94, 1 Os 2.71
Al 0.7521 0.0000 0.7521  2 Si 2.54, 2 Os 2.70, 6 Al 2.71-2.77
Al 0.8329 0.8329 0.0000  8 Al 2.71-2.77, 2 Os 2.83, 2 Si 3.01
Al 0.8994 0.6604 0.2390  2 Si 2.66, 7 Al 2.71-2.94, 1 Os 2.71
Si 0.3547 0.8547 0.5000  6 Al 2.54-2.66
Si 0.6453 0.1453 0.5000  6 Al 2.54-2.66
Os 0.0000 0.5000 0.5000  12 Al 2.70-2.83

The symmetry is No. 71.

=====

(10)
VASP calculation (PBE) on a geometry-optimized AlSiOs2 structure.

Cell lengths 7.0918, 7.0918, 5.0356 Å; angles 90.00, 90.00, 90.00 degrees
Closest atoms and distances in Å follow each position.
Fractional positions:
Al 0.0000 0.0000 0.0000  2 Si 2.52
Al 0.0000 0.5000 0.2500  2 Si 2.52
Al 0.5000 0.0000 0.7500  2 Si 2.52
Al 0.5000 0.5000 0.5000  2 Si 2.52
Si 0.0000 0.0000 0.5000  4 Os 2.28, 2 Al 2.52
Si 0.0000 0.5000 0.7500  4 Os 2.28, 2 Al 2.52
Si 0.5000 0.0000 0.2500  4 Os 2.28, 2 Al 2.52
Si 0.5000 0.5000 0.0000  4 Os 2.28, 2 Al 2.52
Os 0.1828 0.2500 0.6250  2 Si 2.28
Os 0.2500 0.6828 0.8750  2 Si 2.28
Os 0.2500 0.8172 0.3750  2 Si 2.28
Os 0.3172 0.2500 0.1250  2 Si 2.28
Os 0.6828 0.7500 0.1250  2 Si 2.28
Os 0.7500 0.1828 0.3750  2 Si 2.28
Os 0.7500 0.3172 0.8750  2 Si 2.28
Os 0.8172 0.7500 0.6250  2 Si 2.28

The symmetry is No. 122.

=====

(11)
VASP calculation (PBE) on a geometry-optimized AlSi3Os structure.

Cell lengths 4.6572, 4.6572, 4.6572 Å; angles 90.00, 90.00, 90.00 degrees
Closest atoms and distances in Å follow each position.
Fractional positions:
Al 0.0000 0.0000 0.0000  12 Si 3.29
Si 0.0000 0.5000 0.5000  2 Os 2.33
Si 0.5000 0.0000 0.5000  2 Os 2.33
Si 0.5000 0.5000 0.0000  2 Os 2.33
Os 0.5000 0.5000 0.5000  6 Si 2.33

The symmetry is No. 221. Its offset from the most stable computed form is 0.000 eV per formula unit.

=====

(12)
VASP calculation (PBE) on a geometry-optimized AlSiOs2 structure.

Cell lengths 2.8077, 3.7194, 5.2801 Å; angles 90.00, 90.00, 90.00 degrees
Closest atoms and distances in Å follow each position.
Fractional positions:
Al 0.0000 0.0000 0.0000  6 Os 2.55-2.73, 4 Si 2.76, 2 Al 2.81
Si 0.5000 0.5000 0.7206  6 Os 2.56-2.71, 4 Al 2.76, 2 Si 2.81
Os 0.0000 0.0000 0.5178  2 Al 2.55-2.73, 4 Si 2.56, 6 Os 2.81-2.85
Os 0.5000 0.5000 0.2069  2 Si 2.57-2.71, 4 Al 2.57, 6 Os 2.81-2.85

The symmetry is No. 25.

=====

For each record above, in turn, the calculated total moment values are 0.00 0.00 0.00 0.00 0.00 0.00 0.00 0.00 0.00 0.00 0.00 0.00 Bohr magnetons per cell.
For each record above, in turn, the calculated ρ values are 8.0 12.8 13.6 8.1 13.2 8.0 13.3 8.0 4.4 11.4 5.0 13.1 Mg/m³.
For each record above, in turn, the calculated formation energy without anion corrections values are -0.3 0.0 -1.6 0.0 -0.2 0.1 -1.2 -0.6 -0.6 1.4 2.9 -0.8 eV/f.u..